Entry 1:
The following is a PBE-GGA calculation of an optimized crystal structure of AcCeGa3, from Alexandria.

As for the density of states at the Fermi level: 29.018 states/eV/cell. The value obtained for the total energy is -0.322 Ry/atom. The crystal system is orthorhombic.

The structure belongs to space group Cmcm (No. 63); the cell edges are 4.5506, 26.5260 and 4.3086 Å and the angles 90.00°, 90.00° and 90.00°. Symmetry generates all atoms from Ac at (0.0000, 0.0747, 0.2500), Ce at (0.0000, 0.2047, 0.7500), Ga at (0.0000, 0.3228, 0.7500), Ga at (0.0000, 0.3783, 0.2500) and Ga at (0.0000, 0.4757, 0.2500).

Entry 2:
The following is a PBE-GGA calculation of an optimized crystal structure of Ac2CeGa3, from Alexandria.

As for the density of states at the Fermi level: 68.429 states/eV/cell. The value obtained for the total energy is -0.308 Ry/atom. The crystal system is orthorhombic.

The structure belongs to space group Fmmm (No. 69); the cell edges are 7.5554, 10.1894 and 17.2476 Å and the angles 90.00°, 90.00° and 90.00°. Symmetry generates all atoms from Ac at (0.2423, 0.0000, 0.0000), Ac at (0.2500, 0.2500, 0.2500), Ce at (0.0000, 0.0000, 0.3325), Ga at (0.0000, 0.0000, 0.1595) and Ga at (0.0000, 0.2443, 0.0793).

Entry 3:
The following is a PBE-GGA calculation of an optimized crystal structure of Ac2CeGa6, from Alexandria.

As for the density of states at the Fermi level: 19.619 states/eV/cell. The value obtained for the total energy is -0.291 Ry/atom. The crystal system is orthorhombic.

The structure belongs to space group Immm (No. 71); the cell edges are 3.7999, 7.8287 and 15.8630 Å and the angles 90.00°, 90.00° and 90.00°. Symmetry generates all atoms from Ac at (0.0000, 0.0000, 0.1706), Ce at (0.0000, 0.5000, 0.0000), Ga at (0.0000, 0.1653, 0.3606) and Ga at (0.0000, 0.3374, 0.5000).

Entry 4:
The following is a PBE-GGA calculation of an optimized crystal structure of Ac4CeGa5, from Alexandria.

As for the density of states at the Fermi level: 14.109 states/eV/cell. The value obtained for the total energy is -0.307 Ry/atom. The crystal system is tetragonal.

The structure belongs to space group P4/mmm (No. 123); the cell edges are 3.8729, 3.8729 and 19.3320 Å and the angles 90.00°, 90.00° and 90.00°. Symmetry generates all atoms from Ac at (0.0000, 0.0000, 0.1033), Ac at (0.0000, 0.0000, 0.3090), Ce at (0.0000, 0.0000, 0.5000), Ga at (0.5000, 0.5000, 0.0000), Ga at (0.5000, 0.5000, 0.2073) and Ga at (0.5000, 0.5000, 0.4146).

ΔH_f (0 K), respectively: -0.556 -0.320 -0.366 -0.431 eV/atom.